An optimized crystal structure of Er4CuRh. Source: Alexandria, functional PBE-GGA.

Properties
symmetry: I4_1md, No. 109
M_tot: 0.0 μB/cell
formation energy from the elements: -0.24 eV per atom
ΔE to the lowest computed polymorph: 176 meV per atom

a = 7.675 Å, b = 7.675 Å, c = 7.675 Å
α = 105.56°, β = 105.56°, γ = 117.62°
Sites, in units of the cell vectors:
Er  0.745  0.449  0.704
Rh  0.750  0.750  0.000
Er  0.254  0.552  0.298
Er  0.791  0.995  0.796
Er  0.302  0.504  0.798
Rh  0.500  0.000  0.500
Er  0.706  0.504  0.202
Er  0.745  0.041  0.296
Er  0.199  0.995  0.204
Er  0.254  0.956  0.702
Cu  0.001  0.501  0.500
Cu  0.251  0.251  0.000